TcAgS2N: optimized geometry, PBE-GGA.

Cell: 4.824 4.824 3.715 Å, 90.00 90.00 90.00°
Fractional positions:
S 0.000 0.500 0.000
S 0.500 0.000 0.000
Tc 0.000 0.000 0.000
Ag 0.500 0.500 0.500
N 0.000 0.000 0.500

## Properties
Energy relative to the elements, uncorrected: 1.82 eV per formula unit
Crystal system: tetragonal
SG: P4/mmm, No. 123
N(E_F): 3.0 states/eV/f.u.
Calculated density: 5.5 g cm⁻³
Offset from the most stable computed form: 0 meV per atom
Total magnetization: 0.00 μB per cell
V: 17.3 A^3/atom